The following is a GGA-PBE calculation of a relaxed structure of K2ZnCdAg2, from the Alexandria database.

Cell lengths 8.577, 13.607, 6.246 Å; angles 90.00, 90.00, 90.00 degrees
Space group Ibam (No. 72)
Asymmetric unit:
K1 0.189 0.188 0.000 x8
Zn1 0.000 0.000 0.250 x4
Cd1 0.000 0.500 0.250 x4
Ag1 0.235 0.056 0.500 x8

- N(E_F): 0.197 states/eV/atom
- ΔE_f: -0.008 eV/atom